[1]
# RbLiAg2

A geometry-optimized RbLiAg2 structure (PBE, Alexandria).

Properties
Energy of formation in eV/atom: 0.06
DOS at the Fermi energy in states/eV per atom: 0.35
Total magnetic moment in μB per formula unit: 0.00
Space-group type: P4/mmm (123)

Geometry as extended XYZ:
```
4
Lattice="3.5203 0.0000 0.0000 0.0000 3.5203 0.0000 0.0000 0.0000 8.1952" Properties=species:S:1:pos:R:3 pbc="T T T"
Rb 0.0000 0.0000 0.0000
Li 0.0000 0.0000 4.0976
Ag 1.7601 1.7601 2.6818
Ag 1.7601 1.7601 5.5134
```



[2]
# RbLiAg2

A geometry-optimized RbLiAg2 structure (PBE, Alexandria).

Properties
Energy of formation in eV/atom: -0.04
DOS at the Fermi energy in states/eV per atom: 0.38
Total magnetic moment in μB per formula unit: 0.00
Space-group type: R-3m (166)

Geometry as extended XYZ:
```
12
Lattice="4.7729 0.0000 0.0000 -2.3864 4.1334 0.0000 0.0000 0.0000 18.9096" Properties=species:S:1:pos:R:3 pbc="T T T"
Rb 0.0000 0.0000 0.0000
Rb 0.0000 2.7556 12.6064
Rb 2.3864 1.3778 6.3032
Li 0.0000 0.0000 9.4548
Li 0.0000 2.7556 3.1516
Li 2.3864 1.3778 15.7580
Ag 0.0000 0.0000 3.4743
Ag 0.0000 0.0000 15.4353
Ag 0.0000 2.7556 9.1321
Ag 0.0000 2.7556 16.0807
Ag 2.3864 1.3778 2.8289
Ag 2.3864 1.3778 9.7775
```